# 1
A plane-wave DFT calculation with PBE was carried out for a relaxed Hf2MgRe crystal.

Lattice parameters (Å, degrees): 2.861 5.117 11.408 90.00 90.00 90.00
Space group Immm (No. 71)
One atom of each set of equivalent atoms:
Hf 0.000 0.000 0.229 [4 per cell]
Mg 0.000 0.000 0.500 [2 per cell]
Re 0.000 0.000 0.000 [2 per cell]

## Properties
The density of states at the Fermi level is 0.576 states/eV/atom. The value obtained for the final energy is -62.9 eV/cell. Its calculated formation energy is 0.62 eV per atom.

---

# 2
A plane-wave DFT calculation with PBE was carried out for a relaxed HfMgRe4 crystal.

Lattice parameters (Å, degrees): 7.437 7.437 7.437 90.00 90.00 90.00
Space group F-43m (No. 216)
One atom of each set of equivalent atoms:
Hf 0.000 0.000 0.000 [4 per cell]
Mg 0.250 0.250 0.750 [4 per cell]
Re 0.125 0.125 0.375 [16 per cell]

## Properties
The density of states at the Fermi level is 1.084 states/eV/atom. The value obtained for the final energy is -247.8 eV/cell. Its calculated formation energy is -0.10 eV per atom.

---

# 3
A plane-wave DFT calculation with PBE was carried out for a relaxed Hf3MgRe crystal.

Lattice parameters (Å, degrees): 5.063 5.063 5.063 90.00 90.00 90.00
Space group Pm-3m (No. 221)
One atom of each set of equivalent atoms:
Hf 0.000 0.000 0.500 [3 per cell]
Mg 0.500 0.500 0.500 [1 per cell]
Re 0.000 0.000 0.000 [1 per cell]

## Properties
The value obtained for the offset from the most stable computed form is 0 meV/atom. The density of states at the Fermi level is 1.888 states/eV/atom. The value obtained for the final energy is -41.1 eV/cell. Its calculated formation energy is 0.57 eV per atom.

---

# 4
A plane-wave DFT calculation with PBE was carried out for a relaxed Hf3MgRe crystal.

Lattice parameters (Å, degrees): 4.828 4.828 4.828 90.00 90.00 90.00
Space group Pm-3m (No. 221)
One atom of each set of equivalent atoms:
Hf 0.000 0.000 0.500 [3 per cell]
Mg 0.000 0.000 0.000 [1 per cell]
Re 0.500 0.500 0.500 [1 per cell]

## Properties
The value obtained for the offset from the most stable computed form is 1213 meV/atom. The density of states at the Fermi level is 1.465 states/eV/atom. The value obtained for the final energy is -35.0 eV/cell. Its calculated formation energy is 1.78 eV per atom.

---

# 5
A plane-wave DFT calculation with PBE was carried out for a relaxed Hf2MgRe crystal.

Lattice parameters (Å, degrees): 4.100 4.100 19.678 90.00 90.00 90.00
Space group I-42d (No. 122)
One atom of each set of equivalent atoms:
Hf 0.235 0.250 0.125 [8 per cell]
Mg 0.000 0.000 0.500 [4 per cell]
Re 0.000 0.000 0.000 [4 per cell]

## Properties
The density of states at the Fermi level is 0.913 states/eV/atom. The value obtained for the final energy is -123.4 eV/cell. Its calculated formation energy is 0.77 eV per atom.

---

# 6
A plane-wave DFT calculation with PBE was carried out for a relaxed HfMg2Re crystal.

Lattice parameters (Å, degrees): 6.598 6.598 6.598 90.00 90.00 90.00
Space group Fm-3m (No. 225)
One atom of each set of equivalent atoms:
Hf 0.000 0.000 0.000 [4 per cell]
Mg 0.250 0.250 0.250 [8 per cell]
Re 0.000 0.000 0.500 [4 per cell]

## Properties
The value obtained for the offset from the most stable computed form is 0 meV/atom. The density of states at the Fermi level is 0.788 states/eV/atom. The value obtained for the final energy is -95.0 eV/cell. Its calculated formation energy is 0.46 eV per atom.

---

> What is the formula in the second record?

HfMgRe4

---

> Which of these has the highest final energy?

number 4

---

> Look up the final energy of the first one.

-62.9 eV/cell